No. 1
First-principles (PBE-GGA) data for a geometry-optimized K2CdAsBr6 structure, as listed in the Alexandria database.

Cell and atoms, written as POSCAR:
```
K2CdAsBr6
1.0
7.6792 0.0000 0.0000
3.8098 6.7861 0.0000
3.7939 2.3099 6.4144
K Cd As Br
2 1 1 6
Cartesian
0.0000 0.0000 0.0000 K
7.5944 4.3629 3.4918 K
11.4258 6.7330 4.9566 Cd
3.7822 2.1854 1.7482 As
6.1749 5.9550 6.3574 Br
8.9946 7.5170 3.5442 Br
7.5848 2.3337 6.3682 Br
6.0794 3.0931 0.6827 Br
9.1659 1.2793 2.8134 Br
11.4435 4.3511 3.5364 Br
```

Density of states at the Fermi level (states/eV per atom): 0.28
Total energy (eV/atom): -2.74

=====

No. 2
First-principles (PBE-GGA) data for a geometry-optimized Ti2TcGe structure, as listed in the Alexandria database.

Cell and atoms, written as POSCAR:
```
Ti2TcGe
1.0
7.0922 0.0000 0.0000
0.0000 7.0922 0.0000
0.0000 0.0000 5.2948
Ti Tc Ge
8 4 4
Cartesian
1.5816 5.3192 0.6618 Ti
1.7731 1.5816 4.6329 Ti
1.7731 1.9645 1.9855 Ti
1.9645 5.3192 3.3092 Ti
5.1277 1.7731 3.3092 Ti
5.3192 5.1277 1.9855 Ti
5.3192 5.5106 4.6329 Ti
5.5106 1.7731 0.6618 Ti
0.0000 0.0000 0.0000 Tc
0.0000 3.5461 1.3237 Tc
3.5461 0.0000 3.9711 Tc
3.5461 3.5461 2.6474 Tc
0.0000 0.0000 2.6474 Ge
0.0000 3.5461 3.9711 Ge
3.5461 0.0000 1.3237 Ge
3.5461 3.5461 0.0000 Ge
```

Energy of formation (eV per atom): 0.0699
Density of states at the Fermi level (states/eV per atom): 0.88
Total energy (eV/atom): -7.62

=====

No. 3
First-principles (PBE-GGA) data for a geometry-optimized Ho2MgCu6 structure, as listed in the Alexandria database.

Cell and atoms, written as POSCAR:
```
Ho2MgCu6
1.0
5.6988 0.0000 0.0000
-2.8494 4.9353 0.0000
0.0000 0.0000 5.4151
Ho Mg Cu
2 1 6
Cartesian
0.0000 3.2902 1.8595 Ho
2.8494 1.6451 3.5556 Ho
0.0000 0.0000 2.7076 Mg
0.0000 1.8436 4.5718 Cu
-1.2528 4.0135 4.5718 Cu
1.5966 0.9218 0.8434 Cu
1.2528 4.0135 4.5718 Cu
4.1022 0.9218 0.8434 Cu
2.8494 3.0917 0.8434 Cu
```

Energy of formation (eV per atom): -0.1486
Density of states at the Fermi level (states/eV per atom): 0.45
Total energy (eV/atom): -4.07